Record 1
The following is a GGA-PBE calculation of an optimized crystal structure of Tl2In6Hg5, from the Alexandria database.

## Properties
Its mass density is 9.54 g cm⁻³. The final energy comes out at -1.72 eV per atom. The calculation puts the formation energy at 27 meV per atom.

a b c (Å): 5.9839 7.3983 8.7206
angles (deg): 73.05 86.09 82.18
Closest atoms and distances in Å follow each position.
Space group P-1 (No. 2)
Inequivalent atoms, fractional coordinates:
Tl (0.0387, 0.2778, 0.1229) [2 per cell]  4 Hg 3.29-3.42, 1 Tl 3.35, 4 In 3.44-3.62
In (0.4153, 0.2251, 0.4262) [2 per cell]  3 Hg 3.07-3.11, 4 In 3.15-3.36
In (0.4233, 0.0055, 0.8216) [2 per cell]  1 Hg 3.08, 5 In 3.15-3.40
In (0.4950, 0.4023, 0.8710) [2 per cell]  2 Hg 3.00-3.06, 3 In 3.02-3.26
Hg (0.0000, 0.0000, 0.5000) [1 per cell]  2 In 3.11, 4 Hg 3.20-3.33, 2 Tl 3.34
Hg (0.0700, 0.8085, 0.2119) [2 per cell]  2 In 3.00-3.08, 3 Hg 3.20-3.30, 2 Tl 3.29-3.31
Hg (0.1985, 0.5406, 0.5767) [2 per cell]  4 Hg 3.01-3.33, 3 In 3.06-3.10

Record 2
The following is a GGA-PBE calculation of an optimized crystal structure of NpTc2Ge, from the Alexandria database.

## Properties
Its mass density is 12.77 g cm⁻³. The final energy comes out at -9.68 eV per atom. The calculation puts the energy relative to the lowest polymorph listed for this composition at 0 meV per atom. The calculation puts the formation energy at -103 meV per atom.

a b c (Å): 4.3243 4.3243 3.5174
angles (deg): 90.00 90.00 90.00
Closest atoms and distances in Å follow each position.
Space group P4/mmm (No. 123)
Inequivalent atoms, fractional coordinates:
Np (0.0000, 0.0000, 0.0000) [1 per cell]  8 Tc 2.79, 4 Ge 3.06
Tc (0.0000, 0.5000, 0.5000) [2 per cell]  4 Ge 2.79, 4 Np 2.79, 4 Tc 3.06
Ge (0.5000, 0.5000, 0.0000) [1 per cell]  8 Tc 2.79, 4 Np 3.06

Record 3
The following is a GGA-PBE calculation of an optimized crystal structure of TaHg2Os, from the Alexandria database.

## Properties
Its mass density is 17.34 g cm⁻³. The final energy comes out at -5.32 eV per atom. The calculation puts the energy relative to the lowest polymorph listed for this composition at 360 meV per atom. The calculation puts the formation energy at 600 meV per atom.

a b c (Å): 3.2351 4.6249 4.9430
angles (deg): 90.00 90.00 90.00
Closest atoms and distances in Å follow each position.
Space group Pmmm (No. 47)
Inequivalent atoms, fractional coordinates:
Ta (0.0000, 0.0000, 0.0000) [1 per cell]  4 Os 2.82, 4 Hg 2.95
Hg (0.0000, 0.5000, 0.5000) [1 per cell]  4 Hg 2.82, 4 Os 2.95
Hg (0.5000, 0.0000, 0.5000) [1 per cell]  4 Hg 2.82, 4 Ta 2.95
Os (0.5000, 0.5000, 0.0000) [1 per cell]  4 Ta 2.82, 4 Hg 2.95